No. 1
Material: Ag2IrW
Method: DFT, GGA-PBE
State: relaxed

Results
- magnetization (Bohr magnetons per cell) = 0.0
- DFT total energy (eV/atom) = -6.362
- ΔE to the lowest computed polymorph (meV per atom) = 358.1
- N(E_F) (states/eV/atom) = 0.960

abc: 4.801 4.801 4.801
angles: 129.40 129.40 74.36
Fractional coordinates of all 4 atoms:
Ag 0.000 0.000 0.000
Ag 0.750 0.250 0.500
Ir 0.500 0.500 0.000
W 0.250 0.750 0.500

No. 2
Material: ZrAgIr2W
Method: DFT, GGA-PBE
State: relaxed

Results
- magnetization (Bohr magnetons per cell) = 0.0
- DFT total energy (eV/atom) = -6.347
- N(E_F) (states/eV/atom) = 1.749

abc: 4.748 4.748 4.903
angles: 90.00 90.00 90.00
Fractional coordinates of all 5 atoms:
Zr 0.000 0.000 0.000
Ag 0.000 0.000 0.500
Ir 0.000 0.500 0.000
Ir 0.500 0.000 0.000
W 0.500 0.500 0.500

No. 3
Material: Y4Ag2Ir
Method: DFT, GGA-PBE
State: relaxed

Results
- magnetization (Bohr magnetons per cell) = 0.0
- DFT total energy (eV/atom) = -6.129
- N(E_F) (states/eV/atom) = 0.990

abc: 8.673 8.673 8.673
angles: 33.76 33.76 33.76
Fractional coordinates of all 7 atoms:
Y 0.121 0.121 0.121
Y 0.372 0.372 0.372
Y 0.628 0.628 0.628
Y 0.879 0.879 0.879
Ag 0.247 0.247 0.247
Ag 0.753 0.753 0.753
Ir 0.000 0.000 0.000

No. 4
Material: Y2AgIr2
Method: DFT, GGA-PBE
State: relaxed

Results
- magnetization (Bohr magnetons per cell) = 0.0
- DFT total energy (eV/atom) = -7.327
- ΔE to the lowest computed polymorph (meV per atom) = 0.0
- N(E_F) (states/eV/atom) = 0.521

abc: 5.471 5.471 5.471
angles: 131.97 115.22 84.55
Fractional coordinates of all 5 atoms:
Y 0.209 0.209 0.000
Y 0.791 0.791 0.000
Ag 0.500 0.000 0.500
Ir 0.214 0.500 0.714
Ir 0.786 0.500 0.286

No. 5
Material: Y2AgIr
Method: DFT, GGA-PBE
State: relaxed

Results
- magnetization (Bohr magnetons per cell) = 0.0
- DFT total energy (eV/atom) = -6.542
- N(E_F) (states/eV/atom) = 0.774

abc: 5.797 5.797 4.973
angles: 105.07 105.07 33.95
Fractional coordinates of all 4 atoms:
Y 0.000 0.000 0.000
Y 0.208 0.208 0.638
Ag 0.440 0.440 0.450
Ir 0.723 0.723 0.132

No. 6
Material: Y2AgIr
Method: DFT, GGA-PBE
State: relaxed

Results
- magnetization (Bohr magnetons per cell) = 0.0
- DFT total energy (eV/atom) = -6.752
- N(E_F) (states/eV/atom) = 0.701

abc: 3.435 3.575 7.250
angles: 90.00 90.07 90.00
Fractional coordinates of all 4 atoms:
Y 0.000 0.000 0.230
Y 0.000 0.000 0.770
Ag 0.500 0.500 0.500
Ir 0.500 0.500 0.000

No. 7
Material: YAgIr3
Method: DFT, GGA-PBE
State: relaxed

Results
- magnetization (Bohr magnetons per cell) = 1.2
- DFT total energy (eV/atom) = -5.811
- ΔE to the lowest computed polymorph (meV per atom) = 0.0
- N(E_F) (states/eV/atom) = 1.750

abc: 4.810 4.810 4.810
angles: 90.00 90.00 90.00
Fractional coordinates of all 5 atoms:
Y 0.000 0.000 0.000
Ag 0.500 0.500 0.500
Ir 0.000 0.500 0.500
Ir 0.500 0.000 0.500
Ir 0.500 0.500 0.000

No. 8
Material: Y3Ag2Ir
Method: DFT, GGA-PBE
State: relaxed

Results
- magnetization (Bohr magnetons per cell) = 0.0
- DFT total energy (eV/atom) = -6.173
- N(E_F) (states/eV/atom) = 0.947

abc: 5.024 5.024 6.216
angles: 90.00 90.00 120.00
Fractional coordinates of all 6 atoms:
Y 0.000 0.000 0.000
Y 0.333 0.667 0.647
Y 0.667 0.333 0.353
Ag 0.333 0.667 0.149
Ag 0.667 0.333 0.851
Ir 0.000 0.000 0.500

No. 9
Material: Y3AgIr2
Method: DFT, GGA-PBE
State: relaxed

Results
- magnetization (Bohr magnetons per cell) = 0.0
- DFT total energy (eV/atom) = -7.321
- N(E_F) (states/eV/atom) = 0.875

abc: 3.461 3.461 10.910
angles: 90.00 90.00 90.00
Fractional coordinates of all 6 atoms:
Y 0.000 0.000 0.000
Y 0.000 0.000 0.310
Y 0.000 0.000 0.690
Ag 0.500 0.500 0.500
Ir 0.500 0.500 0.162
Ir 0.500 0.500 0.838

No. 10
Material: Y2AgIr
Method: DFT, GGA-PBE
State: relaxed

Results
- magnetization (Bohr magnetons per cell) = 0.0
- DFT total energy (eV/atom) = -6.550
- N(E_F) (states/eV/atom) = 0.761

abc: 6.346 6.346 6.346
angles: 147.88 136.64 54.98
Fractional coordinates of all 4 atoms:
Y 0.000 0.000 0.000
Y 0.710 0.210 0.500
Ag 0.300 0.800 0.500
Ir 0.507 0.507 0.000

No. 11
Material: Y5Ag4Ir
Method: DFT, GGA-PBE
State: relaxed

Results
- magnetization (Bohr magnetons per cell) = 0.0
- DFT total energy (eV/atom) = -5.689
- N(E_F) (states/eV/atom) = 0.708

abc: 3.584 3.584 18.222
angles: 90.00 90.00 90.00
Fractional coordinates of all 10 atoms:
Y 0.000 0.000 0.000
Y 0.000 0.000 0.205
Y 0.000 0.000 0.411
Y 0.000 0.000 0.589
Y 0.000 0.000 0.795
Ag 0.500 0.500 0.102
Ag 0.500 0.500 0.305
Ag 0.500 0.500 0.695
Ag 0.500 0.500 0.898
Ir 0.500 0.500 0.500

No. 12
Material: Y2AgIr
Method: DFT, GGA-PBE
State: relaxed

Results
- magnetization (Bohr magnetons per cell) = 0.0
- DFT total energy (eV/atom) = -6.748
- N(E_F) (states/eV/atom) = 0.851

abc: 4.986 4.986 4.986
angles: 60.00 60.00 60.00
Fractional coordinates of all 4 atoms:
Y 0.250 0.250 0.250
Y 0.750 0.750 0.750
Ag 0.000 0.000 0.000
Ir 0.500 0.500 0.500